No. 1
Computed, not measured: a relaxed structure of Rb2VCuO4 at the PBE with a Hubbard U level of DFT.

Computed properties:
- energy (eV per atom) = -5.7382
- ρ (Mg/m³) = 3.8

a = 4.9114 Å, b = 6.5271 Å, c = 10.6596 Å
α = 85.03°, β = 76.68°, γ = 67.90°
Fractional coordinates of all 16 atoms:
1 Rb 0.8284 0.0000 0.3432
2 Rb 0.5784 0.5000 0.8432
3 Rb 0.9216 0.5000 0.1568
4 Rb 0.1716 0.0000 0.6568
5 Cu 0.7500 0.5000 0.5000
6 Cu 0.0000 0.0000 0.0000
7 O 0.4196 0.6739 0.4038
8 O 0.5734 0.1739 0.0962
9 O 0.1766 0.3261 0.4038
10 O 0.9066 0.6739 0.5962
11 O 0.2528 0.1739 0.9038
12 O 0.4972 0.3261 0.5962
13 O 0.8434 0.8261 0.9038
14 O 0.3304 0.8261 0.0962
15 V 0.5000 0.0000 0.0000
16 V 0.2500 0.5000 0.5000

***

No. 2
Computed, not measured: a relaxed structure of RbVCuO4 at the PBE with a Hubbard U level of DFT.

Computed properties:
- energy (eV per atom) = -6.0977
- ρ (Mg/m³) = 3.6

a = 5.2836 Å, b = 5.7303 Å, c = 8.3081 Å
α = 90.00°, β = 105.23°, γ = 90.00°
Fractional coordinates of all 14 atoms:
1 Rb 0.4742 0.7500 0.8232
2 Rb 0.5258 0.2500 0.1768
3 O 0.0099 0.5094 0.3383
4 O 0.9901 0.4906 0.6617
5 O 0.4950 0.2500 0.5649
6 O 0.5050 0.7500 0.4351
7 O 0.7528 0.2500 0.9004
8 O 0.9901 0.0094 0.6617
9 O 0.2472 0.7500 0.0996
10 O 0.0099 0.9906 0.3383
11 Cu 0.9056 0.7500 0.4970
12 Cu 0.0944 0.2500 0.5030
13 V 0.7927 0.2500 0.7053
14 V 0.2073 0.7500 0.2947

***

No. 3
Computed, not measured: a relaxed structure of Rb2CuWO at the PBE with a Hubbard U level of DFT.

Computed properties:
- energy (eV per atom) = -3.2860
- ρ (Mg/m³) = 4.6

a = 6.6529 Å, b = 3.5672 Å, c = 6.6529 Å
α = 90.00°, β = 90.00°, γ = 90.00°
Fractional coordinates of all 5 atoms:
1 Cu 0.0000 0.0000 0.0000
2 Rb 0.0000 0.0000 0.5000
3 Rb 0.5000 0.0000 0.0000
4 W 0.5000 0.5000 0.5000
5 O 0.0000 0.5000 0.0000

***

No. 4
Computed, not measured: a relaxed structure of Rb3CuW2O8 at the PBE with a Hubbard U level of DFT.

Computed properties:
- energy (eV per atom) = -6.1183
- ρ (Mg/m³) = 5.2

a = 6.1395 Å, b = 6.1395 Å, c = 7.9604 Å
α = 90.00°, β = 90.00°, γ = 120.00°
Fractional coordinates of all 14 atoms:
1 Rb 0.6667 0.3333 0.3358
2 Rb 0.3333 0.6667 0.6642
3 Rb 0.0000 0.0000 0.0000
4 O 0.1727 0.8273 0.3165
5 O 0.8273 0.1727 0.6835
6 O 0.8273 0.6545 0.6835
7 O 0.3333 0.6667 0.0069
8 O 0.6667 0.3333 0.9931
9 O 0.6545 0.8273 0.3165
10 O 0.1727 0.3455 0.3165
11 O 0.3455 0.1727 0.6835
12 W 0.6667 0.3333 0.7661
13 W 0.3333 0.6667 0.2339
14 Cu 0.0000 0.0000 0.5000

***

> Which of these has the lowest ρ?

RbVCuO4

***

> ρ of number 4 (Rb3CuW2O8)?

5.2 Mg/m³